Entry 1:
MgHgTe2: relaxed, GGA-PBE.

Results
**Energy above the lowest structure with this stoichiometry**: 1 meV per atom

a = 4.6608 Å, b = 6.5790 Å, c = 9.2713 Å
α = 89.96°, β = 90.00°, γ = 89.98°
Closest atoms and distances in Å follow each position.
Fractional positions:
Mg  0.2003  0.8569  0.2311  4 Te 2.82
Mg  0.7007  0.3567  0.9855  4 Te 2.82
Hg  0.2013  0.8579  0.7363  4 Te 2.87-2.89
Hg  0.7014  0.3581  0.4795  4 Te 2.87-2.89
Te  0.7006  0.6159  0.2274  3 Mg 2.82, 1 Hg 2.89
Te  0.7013  0.6028  0.7361  1 Mg 2.82, 3 Hg 2.87
Te  0.2013  0.1032  0.4797  1 Mg 2.82, 3 Hg 2.87
Te  0.2008  0.1154  0.9884  3 Mg 2.82, 1 Hg 2.89

=====

Entry 2:
MgHgTe2: relaxed, GGA-PBE.

Results
**Energy above the lowest structure with this stoichiometry**: 391 meV per atom

a = 11.3528 Å, b = 11.3528 Å, c = 6.1498 Å
α = 90.00°, β = 90.00°, γ = 162.49°
Closest atoms and distances in Å follow each position.
Fractional positions:
Mg  0.4257  0.5743  0.2500  2 Hg 2.82, 2 Te 2.86
Mg  0.5743  0.4257  0.7500  2 Hg 2.82, 2 Te 2.86
Te  0.1537  0.8463  0.2500  1 Hg 2.89, 2 Te 3.12
Te  0.8463  0.1537  0.7500  1 Hg 2.89, 2 Te 3.12
Te  0.8239  0.1761  0.2500  2 Mg 2.86, 2 Te 3.12
Te  0.1761  0.8239  0.7500  2 Mg 2.86, 2 Te 3.12
Hg  0.0249  0.9751  0.2500  2 Mg 2.82, 1 Te 2.89
Hg  0.9751  0.0249  0.7500  2 Mg 2.82, 1 Te 2.89

=====

Entry 3:
MgHgTe2: relaxed, GGA-PBE.

Results
**Energy above the lowest structure with this stoichiometry**: 91 meV per atom

a = 6.5628 Å, b = 12.6298 Å, c = 6.5602 Å
α = 90.00°, β = 90.00°, γ = 90.00°
Closest atoms and distances in Å follow each position.
Fractional positions:
Mg  0.2500  0.0000  0.9375  4 Te 2.91
Mg  0.7500  0.0000  0.4375  4 Te 2.91
Mg  0.2500  0.5000  0.4375  4 Te 2.91
Mg  0.7500  0.5000  0.9375  4 Te 2.91
Te  0.5000  0.8613  0.1875  2 Hg 2.91, 2 Mg 2.91
Te  0.5000  0.1387  0.6875  2 Hg 2.91, 2 Mg 2.91
Te  0.0000  0.3613  0.6875  2 Hg 2.91, 2 Mg 2.91
Te  0.0000  0.6387  0.1875  2 Hg 2.91, 2 Mg 2.91
Te  0.0000  0.8613  0.6874  2 Hg 2.91, 2 Mg 2.91
Te  0.0000  0.1387  0.1874  2 Hg 2.91, 2 Mg 2.91
Te  0.5000  0.3613  0.1874  2 Hg 2.91, 2 Mg 2.91
Te  0.5000  0.6387  0.6874  2 Hg 2.91, 2 Mg 2.91
Hg  0.2500  0.5001  0.9374  4 Te 2.91
Hg  0.7500  0.4999  0.4374  4 Te 2.91
Hg  0.2500  0.0001  0.4374  4 Te 2.91
Hg  0.7500  0.9999  0.9374  4 Te 2.91

=====

Entry 4:
MgHgTe2: relaxed, GGA-PBE.

Results
**Energy above the lowest structure with this stoichiometry**: 116 meV per atom

a = 5.9757 Å, b = 5.9757 Å, c = 7.6308 Å
α = 66.95°, β = 66.95°, γ = 90.00°
Closest atoms and distances in Å follow each position.
Fractional positions:
Mg  0.5000  0.5000  0.0000  6 Te 2.99-3.00
Mg  0.2500  0.7500  0.5000  6 Te 2.99-3.00
Te  0.7358  0.7358  0.5284  2 Hg 2.99, 3 Mg 2.99-3.00
Te  0.0142  0.5142  0.9716  3 Mg 2.99-3.00, 2 Hg 2.99
Te  0.2642  0.2642  0.4716  3 Mg 2.99-3.00, 2 Hg 2.99
Te  0.4858  0.9858  0.0284  2 Hg 2.99, 3 Mg 2.99-3.00
Hg  0.0000  0.0000  0.0000  4 Te 2.99
Hg  0.7500  0.2500  0.5000  4 Te 2.99

=====

Entry 5:
Mg2HgTe: relaxed, GGA-PBE.

Results
**Energy above the lowest structure with this stoichiometry**: 1 meV per atom

a = 6.9228 Å, b = 6.9228 Å, c = 3.9677 Å
α = 73.36°, β = 73.36°, γ = 34.09°
Closest atoms and distances in Å follow each position.
Fractional positions:
Hg  0.2850  0.2850  0.2169  6 Mg 2.96-3.01
Mg  0.9606  0.9606  0.0379  4 Te 2.99, 2 Hg 3.01
Mg  0.7190  0.7190  0.7826  4 Hg 2.96, 2 Te 3.04-3.06
Te  0.5355  0.5355  0.4626  6 Mg 2.99-3.06

=====

Entry 6:
Mg2HgTe: relaxed, GGA-PBE.

Results
**Energy above the lowest structure with this stoichiometry**: 269 meV per atom

a = 3.4540 Å, b = 3.4540 Å, c = 8.7319 Å
α = 90.00°, β = 90.00°, γ = 90.00°
Closest atoms and distances in Å follow each position.
Fractional positions:
Hg  0.5000  0.5000  0.7930  4 Mg 3.04
Mg  0.0000  0.0000  0.0006  4 Hg 3.04, 4 Mg 3.26
Mg  0.5000  0.5000  0.2484  4 Te 3.05, 4 Mg 3.26
Te  0.0000  0.0000  0.4580  4 Mg 3.05

=====

Entry 7:
MgHg4Te5: relaxed, GGA-PBE.

Results
**Energy above the lowest structure with this stoichiometry**: 6 meV per atom

a = 4.6783 Å, b = 4.6783 Å, c = 38.2697 Å
α = 90.00°, β = 90.00°, γ = 120.00°
Closest atoms and distances in Å follow each position.
Fractional positions:
Mg  0.3333  0.6667  0.1021  4 Te 2.83-2.84
Mg  0.3333  0.6667  0.2993  4 Te 2.83
Hg  0.3333  0.6667  0.4980  4 Te 2.87-2.88
Hg  0.3333  0.6667  0.6999  4 Te 2.87-2.88
Hg  0.3333  0.6667  0.9018  4 Te 2.87-2.89
Hg  0.6667  0.3333  0.0024  4 Te 2.87-2.88
Hg  0.6667  0.3333  0.1995  4 Te 2.88-2.89
Hg  0.6667  0.3333  0.3970  4 Te 2.87-2.89
Hg  0.6667  0.3333  0.5989  4 Te 2.87-2.88
Hg  0.6667  0.3333  0.8008  4 Te 2.87-2.88
Te  0.3333  0.6667  0.0279  1 Mg 2.84, 3 Hg 2.87
Te  0.3333  0.6667  0.2253  1 Mg 2.83, 3 Hg 2.88
Te  0.3333  0.6667  0.4227  4 Hg 2.87-2.88
Te  0.3333  0.6667  0.6245  4 Hg 2.87-2.88
Te  0.3333  0.6667  0.8263  4 Hg 2.87-2.89
Te  0.6667  0.3333  0.1241  3 Mg 2.83, 1 Hg 2.89
Te  0.6667  0.3333  0.3215  3 Mg 2.83, 1 Hg 2.89
Te  0.6667  0.3333  0.5236  4 Hg 2.87-2.88
Te  0.6667  0.3333  0.7254  4 Hg 2.87-2.88
Te  0.6667  0.3333  0.9271  4 Hg 2.87-2.88

=====

Entry 8:
MgHgTe2: relaxed, GGA-PBE.

Results
**Energy above the lowest structure with this stoichiometry**: 163 meV per atom

a = 7.4571 Å, b = 4.3050 Å, c = 4.3050 Å
α = 120.09°, β = 106.69°, γ = 73.31°
Closest atoms and distances in Å follow each position.
Fractional positions:
Mg  0.0000  0.0000  0.0000  6 Te 2.98-2.99
Te  0.7640  0.7471  0.2529  3 Mg 2.98-2.99, 3 Hg 3.10-3.11
Te  0.2360  0.2529  0.7471  3 Mg 2.98-2.99, 3 Hg 3.10-3.11
Hg  0.5000  0.5000  0.5000  6 Te 3.10-3.11

=====

Entry 9:
MgHgTe2: relaxed, GGA-PBE.

Results
**Energy above the lowest structure with this stoichiometry**: 141 meV per atom

a = 7.9646 Å, b = 7.9646 Å, c = 7.9646 Å
α = 33.44°, β = 33.44°, γ = 33.44°
Closest atoms and distances in Å follow each position.
Fractional positions:
Mg  0.9450  0.9450  0.9450  3 Te 2.80
Te  0.1373  0.1373  0.1373  3 Hg 2.85
Te  0.6517  0.6517  0.6517  3 Mg 2.80, 1 Hg 3.03
Hg  0.5171  0.5171  0.5171  4 Te 2.85-3.03

=====

Entry 10:
MgHgTe2: relaxed, GGA-PBE.

Results
**Energy above the lowest structure with this stoichiometry**: 158 meV per atom

a = 11.5534 Å, b = 4.4821 Å, c = 4.4821 Å
α = 123.85°, β = 134.38°, γ = 45.62°
Closest atoms and distances in Å follow each position.
Fractional positions:
Mg  0.5000  0.5000  0.5000  6 Te 2.93-3.03
Te  0.2753  0.0712  0.9288  3 Mg 2.93-3.03, 2 Hg 2.99
Te  0.7247  0.9288  0.0712  3 Mg 2.93-3.03, 2 Hg 2.99
Hg  0.0000  0.0000  0.0000  4 Te 2.99

=====

Entry 11:
MgHg2Te2: relaxed, GGA-PBE.

Results
**Energy above the lowest structure with this stoichiometry**: 0 meV per atom

a = 8.2427 Å, b = 8.2427 Å, c = 4.6720 Å
α = 90.00°, β = 90.00°, γ = 90.00°
Closest atoms and distances in Å follow each position.
Fractional positions:
Mg  0.0000  0.0000  0.0000  4 Te 2.93
Mg  0.5000  0.5000  0.0000  4 Te 2.93
Te  0.2747  0.7747  0.0000  2 Mg 2.93, 2 Hg 2.97
Te  0.7747  0.7253  0.0000  2 Mg 2.93, 2 Hg 2.97
Te  0.7253  0.2253  0.0000  2 Mg 2.93, 2 Hg 2.97
Te  0.2253  0.2747  0.0000  2 Mg 2.93, 2 Hg 2.97
Hg  0.1170  0.6170  0.5000  1 Hg 2.73, 2 Te 2.97
Hg  0.6170  0.8830  0.5000  1 Hg 2.73, 2 Te 2.97
Hg  0.8830  0.3830  0.5000  1 Hg 2.73, 2 Te 2.97
Hg  0.3830  0.1170  0.5000  1 Hg 2.73, 2 Te 2.97

=====

Entry 12:
Mg3HgTe: relaxed, GGA-PBE.

Results
**Energy above the lowest structure with this stoichiometry**: 0 meV per atom

a = 5.2495 Å, b = 5.2495 Å, c = 5.2495 Å
α = 90.00°, β = 90.00°, γ = 90.00°
Closest atoms and distances in Å follow each position.
Fractional positions:
Mg  0.0000  0.5000  0.0000  2 Hg 2.62
Mg  0.0000  0.0000  0.5000  2 Hg 2.62
Mg  0.5000  0.0000  0.0000  2 Hg 2.62
Te  0.5000  0.5000  0.5000  12 Mg 3.71
Hg  0.0000  0.0000  0.0000  6 Mg 2.62

=====

Entry 13:
MgHgTe2: relaxed, GGA-PBE.

Results
**Energy above the lowest structure with this stoichiometry**: 0 meV per atom

a = 8.0164 Å, b = 4.6640 Å, c = 4.6638 Å
α = 60.01°, β = 89.96°, γ = 73.07°
Closest atoms and distances in Å follow each position.
Fractional positions:
Mg  0.9204  0.7820  0.7171  4 Te 2.82-2.83
Te  0.0330  0.0405  0.0877  3 Mg 2.82, 1 Hg 2.88
Te  0.5459  0.0337  0.5907  1 Mg 2.83, 3 Hg 2.87
Hg  0.4149  0.7877  0.2138  4 Te 2.87-2.88

=====

Entry 14:
Mg2HgTe: relaxed, GGA-PBE.

Results
**Energy above the lowest structure with this stoichiometry**: 338 meV per atom

a = 5.2818 Å, b = 5.2818 Å, c = 5.2818 Å
α = 60.00°, β = 60.00°, γ = 60.00°
Closest atoms and distances in Å follow each position.
Fractional positions:
Hg  0.5000  0.5000  0.5000  4 Te 3.23, 4 Mg 3.23
Mg  0.0000  0.0000  0.0000  4 Mg 3.23, 4 Te 3.23
Mg  0.2500  0.2500  0.2500  4 Hg 3.23, 4 Mg 3.23
Te  0.7500  0.7500  0.7500  4 Mg 3.23, 4 Hg 3.23

=====

Entry 15:
Mg2HgTe2: relaxed, GGA-PBE.

Results
**Energy above the lowest structure with this stoichiometry**: 0 meV per atom

a = 4.7310 Å, b = 4.7310 Å, c = 8.6717 Å
α = 74.17°, β = 74.17°, γ = 90.00°
Closest atoms and distances in Å follow each position.
Fractional positions:
Mg  0.7500  0.2500  0.5000  4 Te 2.85
Mg  0.2500  0.7500  0.5000  4 Te 2.85
Te  0.3497  0.3497  0.3007  4 Mg 2.85
Te  0.6503  0.6503  0.6993  4 Mg 2.85
Hg  0.0000  0.0000  0.0000  8 Te 4.12

=====

Entry 16:
MgHgTe2: relaxed, GGA-PBE.

Results
**Energy above the lowest structure with this stoichiometry**: 121 meV per atom

a = 8.5864 Å, b = 8.5864 Å, c = 8.5864 Å
α = 30.99°, β = 30.99°, γ = 30.99°
Closest atoms and distances in Å follow each position.
Fractional positions:
Mg  0.5000  0.5000  0.5000  6 Te 3.00
Te  0.8906  0.8906  0.8906  1 Hg 2.68, 3 Mg 3.00
Te  0.1094  0.1094  0.1094  1 Hg 2.68, 3 Mg 3.00
Hg  0.0000  0.0000  0.0000  2 Te 2.68

=====

Entry 17:
Mg2HgTe2: relaxed, GGA-PBE.

Results
**Energy above the lowest structure with this stoichiometry**: 443 meV per atom

a = 4.7922 Å, b = 4.7922 Å, c = 7.4296 Å
α = 71.19°, β = 71.19°, γ = 90.00°
Closest atoms and distances in Å follow each position.
Fractional positions:
Mg  0.3895  0.3895  0.2210  1 Mg 2.92, 4 Te 3.02
Mg  0.6105  0.6105  0.7790  1 Mg 2.92, 4 Te 3.02
Te  0.7500  0.2500  0.5000  4 Mg 3.02
Te  0.2500  0.7500  0.5000  4 Mg 3.02
Hg  0.0000  0.0000  0.0000  8 Mg 3.69, 8 Te 4.08

=====

Entry 18:
MgHg4Te: relaxed, GGA-PBE.

a = 6.1389 Å, b = 6.1389 Å, c = 6.1389 Å
α = 60.00°, β = 60.00°, γ = 60.00°
Closest atoms and distances in Å follow each position.
Fractional positions:
Mg  0.7500  0.7500  0.7500  12 Hg 3.60, 4 Te 3.76
Hg  0.8752  0.3749  0.3749  6 Hg 3.07
Hg  0.3749  0.3749  0.8752  6 Hg 3.07
Hg  0.3749  0.8752  0.3749  6 Hg 3.07
Hg  0.3749  0.3749  0.3749  6 Hg 3.07
Te  0.0000  0.0000  0.0000  12 Hg 3.60, 4 Mg 3.76

=====

Entry 19:
MgHgTe2: relaxed, GGA-PBE.

Results
**Energy above the lowest structure with this stoichiometry**: 394 meV per atom

a = 12.7084 Å, b = 12.7084 Å, c = 5.4710 Å
α = 90.00°, β = 90.00°, γ = 163.87°
Closest atoms and distances in Å follow each position.
Fractional positions:
Mg  0.0676  0.9324  0.2500  4 Te 2.78-2.93
Mg  0.9324  0.0676  0.7500  4 Te 2.78-2.93
Te  0.1814  0.8186  0.2500  1 Mg 2.86
Te  0.8186  0.1814  0.7500  1 Mg 2.86
Te  0.9511  0.0489  0.2500  3 Mg 2.78-2.93
Te  0.0489  0.9511  0.7500  3 Mg 2.78-2.93
Hg  0.3147  0.6853  0.2500  5 Te 3.27-3.36, 2 Hg 3.57
Hg  0.6853  0.3147  0.7500  5 Te 3.27-3.36, 2 Hg 3.57

=====

Entry 20:
MgHgTe2: relaxed, GGA-PBE.

Results
**Energy above the lowest structure with this stoichiometry**: 232 meV per atom

a = 4.2548 Å, b = 4.2548 Å, c = 7.7610 Å
α = 74.09°, β = 74.09°, γ = 60.00°
Closest atoms and distances in Å follow each position.
Fractional positions:
Mg  0.5006  0.5006  0.4983  6 Te 3.01-3.04
Hg  0.6675  0.6675  0.9974  6 Te 3.09-3.14
Te  0.0860  0.0860  0.7421  3 Mg 3.04, 3 Hg 3.09
Te  0.2459  0.2459  0.2622  3 Mg 3.01, 3 Hg 3.14

=====

Asked for size of the total moment across the records above, the calculation gives 0.0; 0.0; 0.0; 0.0; 0.0; 0.0; 0.0; 0.0; 0.0; 0.0; 0.0; 0.0; 0.0; 0.0; 0.0; 0.0; 0.0; 0.0; 0.0; 0.0 μB per cell in order.
Asked for energy relative to the elements, uncorrected across the records above, the calculation gives -512.4; -121.6; -422.2; -397.3; -371.3; -104.3; -299.6; -349.5; -371.5; -354.8; -140.3; -1.9; -512.9; -34.9; -617.3; -392.1; -174.5; 148.4; -119.0; -280.8 meV per atom in order.
Asked for volume across the records above, the calculation gives 284.29; 238.53; 543.75; 226.90; 101.68; 104.17; 725.36; 112.83; 136.60; 117.52; 317.42; 144.66; 142.25; 104.19; 179.07; 148.84; 151.84; 163.59; 245.52; 115.42 Å³ per cell in order.